This record from the Alexandria database describes an optimized crystal structure of KGeS2N. The functional is PBE-GGA. Values from VASP.

Structure (Quantum ESPRESSO input):
```
&SYSTEM
  ibrav = 0, nat = 5, ntyp = 4
/
ATOMIC_SPECIES
K 39.10 K.upf
Ge 72.64 Ge.upf
S 32.06 S.upf
N 14.01 N.upf
CELL_PARAMETERS angstrom
5.002 0.000 0.000
0.000 5.002 0.000
0.000 0.000 3.916
ATOMIC_POSITIONS crystal
K 0.000 0.000 0.000
Ge 0.500 0.500 0.500
S 0.000 0.500 0.500
S 0.500 0.000 0.500
N 0.500 0.500 0.000
```

Output
raw total energy = -4.17 eV/atom
size of the total moment = 0.384 μB/atom
Fermi-level density of states = 2.753 states/eV/cell

=====

This record from the Alexandria database describes an optimized crystal structure of KGeSbN2. The functional is PBE-GGA. Values from VASP.

Structure (Quantum ESPRESSO input):
```
&SYSTEM
  ibrav = 0, nat = 5, ntyp = 4
/
ATOMIC_SPECIES
K 39.10 K.upf
Ge 72.64 Ge.upf
Sb 121.76 Sb.upf
N 14.01 N.upf
CELL_PARAMETERS angstrom
4.298 0.000 0.000
0.000 4.298 0.000
0.000 0.000 5.414
ATOMIC_POSITIONS crystal
K 0.000 0.000 0.000
Ge 0.500 0.500 0.500
Sb 0.500 0.500 0.000
N 0.000 0.500 0.500
N 0.500 0.000 0.500
```

Output
raw total energy = -3.96 eV/atom
size of the total moment = 0.464 μB/atom
Fermi-level density of states = 3.816 states/eV/cell

=====

This record from the Alexandria database describes an optimized crystal structure of KGeSe2N. The functional is PBE-GGA. Values from VASP.

Structure (Quantum ESPRESSO input):
```
&SYSTEM
  ibrav = 0, nat = 5, ntyp = 4
/
ATOMIC_SPECIES
K 39.10 K.upf
Ge 72.64 Ge.upf
Se 78.96 Se.upf
N 14.01 N.upf
CELL_PARAMETERS angstrom
5.766 0.000 0.000
0.000 5.766 0.000
0.000 0.000 3.434
ATOMIC_POSITIONS crystal
K 0.000 0.000 0.000
Ge 0.500 0.500 0.500
Se 0.000 0.500 0.500
Se 0.500 0.000 0.500
N 0.500 0.500 0.000
```

Output
raw total energy = -3.97 eV/atom
size of the total moment = 0.000 μB/atom
Fermi-level density of states = 2.906 states/eV/cell

=====

This record from the Alexandria database describes an optimized crystal structure of KGeSe2N. The functional is PBE-GGA. Values from VASP.

Structure (Quantum ESPRESSO input):
```
&SYSTEM
  ibrav = 0, nat = 5, ntyp = 4
/
ATOMIC_SPECIES
K 39.10 K.upf
Ge 72.64 Ge.upf
Se 78.96 Se.upf
N 14.01 N.upf
CELL_PARAMETERS angstrom
5.754 0.000 0.000
0.000 5.754 0.000
0.000 0.000 4.783
ATOMIC_POSITIONS crystal
K 0.000 0.000 0.000
Ge 0.500 0.500 0.500
Se 0.000 0.500 0.000
Se 0.500 0.000 0.000
N 0.000 0.000 0.500
```

Output
raw total energy = -2.68 eV/atom
size of the total moment = 0.796 μB/atom
Fermi-level density of states = 3.989 states/eV/cell

=====

This record from the Alexandria database describes an optimized crystal structure of KTaGeN2. The functional is PBE-GGA. Values from VASP.

Structure (Quantum ESPRESSO input):
```
&SYSTEM
  ibrav = 0, nat = 5, ntyp = 4
/
ATOMIC_SPECIES
K 39.10 K.upf
Ta 180.95 Ta.upf
Ge 72.64 Ge.upf
N 14.01 N.upf
CELL_PARAMETERS angstrom
4.067 0.000 0.000
0.000 4.067 0.000
0.000 0.000 5.051
ATOMIC_POSITIONS crystal
K 0.000 0.000 0.000
Ta 0.500 0.500 0.000
Ge 0.000 0.000 0.500
N 0.000 0.500 0.500
N 0.500 0.000 0.500
```

Output
raw total energy = -4.36 eV/atom
size of the total moment = 0.000 μB/atom
Fermi-level density of states = 5.486 states/eV/cell

=====

This record from the Alexandria database describes an optimized crystal structure of KGeTeN2. The functional is PBE-GGA. Values from VASP.

Structure (Quantum ESPRESSO input):
```
&SYSTEM
  ibrav = 0, nat = 5, ntyp = 4
/
ATOMIC_SPECIES
K 39.10 K.upf
Ge 72.64 Ge.upf
Te 127.60 Te.upf
N 14.01 N.upf
CELL_PARAMETERS angstrom
4.347 0.000 0.000
0.000 4.347 0.000
0.000 0.000 5.572
ATOMIC_POSITIONS crystal
K 0.000 0.000 0.000
Ge 0.500 0.500 0.500
Te 0.500 0.500 0.000
N 0.000 0.500 0.500
N 0.500 0.000 0.500
```

Output
raw total energy = -4.00 eV/atom
size of the total moment = 0.652 μB/atom
Fermi-level density of states = 1.823 states/eV/cell